Entry 1:
DyLuSiGeOs PBE-GGA optimized geometry; calculated total energy = -6.76 eV/atom
1.0
5.367 -2.136 0.000
5.367 2.136 0.000
-4.775 0.000 8.698
Ge Lu Si Dy Os
2 2 2 2 2
Cartesian
1.744 0.000 3.803
4.215 0.000 4.895
1.411 0.000 0.955
4.548 0.000 7.743
1.233 0.000 7.639
4.726 0.000 1.059
-3.168 0.000 5.931
9.127 0.000 2.767
-0.092 0.000 5.547
6.051 0.000 3.151


Entry 2:
RbZrAgSe3 PBE-GGA optimized geometry; calculated total energy = -4.85 eV/atom
1.0
-6.335 8.666 -1.430
-2.941 -2.363 -1.288
-5.167 -1.405 14.376
Se Ag Zr Rb
12 4 4 4
Cartesian
-4.379 -1.953 4.329
-10.064 6.852 7.328
-3.269 1.340 1.921
-9.026 6.436 -0.449
-8.160 2.175 11.559
-6.283 2.723 0.099
-7.148 5.480 3.187
-7.074 1.772 3.649
-7.370 3.126 8.009
-11.175 3.558 9.737
-7.295 -0.581 8.471
-5.418 -1.537 12.106
-9.114 4.899 8.740
-8.030 4.460 0.901
-6.414 0.439 10.757
-5.330 -0.001 2.918
-6.206 -2.598 9.682
-5.000 3.183 2.495
-8.238 7.497 1.976
-9.444 1.716 9.163
-9.559 4.045 5.154
-5.475 5.888 -1.384
-8.969 -0.989 13.041
-4.885 0.854 6.504


Entry 3:
LiAlHg PBE-GGA optimized geometry; calculated total energy = -2.05 eV/atom
1.0
-4.170 0.578 1.417
-3.378 -0.257 -2.873
-2.791 -3.452 0.156
Li Al Hg
1 1 1
Cartesian
-7.755 -2.348 -0.975
-2.585 -0.783 -0.325
0.000 0.000 0.000


Entry 4:
TmBe PBE-GGA optimized geometry; calculated total energy = -3.63 eV/atom
1.0
0.000 2.790 2.790
2.790 0.000 2.790
2.790 2.790 0.000
Tm Be
1 1
Cartesian
2.790 2.790 2.790
0.000 0.000 0.000


Entry 5:
HgI2 PBE-GGA optimized geometry; calculated total energy = -1.39 eV/atom
1.0
-13.337 1.037 -3.298
0.166 -6.167 -2.609
-1.428 -2.190 5.084
I Hg
8 4
Cartesian
-11.417 -5.614 -0.353
-4.549 -5.826 0.585
-1.272 -3.129 3.017
-6.614 -4.641 -2.348
-10.050 -1.493 -1.408
-3.182 -1.705 -0.470
-7.985 -2.679 1.525
-13.326 -4.190 -3.840
-2.954 -6.611 2.540
-11.644 -0.709 -3.364
-9.003 -5.142 -1.317
-5.596 -2.178 0.493


Entry 6:
LaPrInNi2 PBE-GGA optimized geometry; calculated total energy = -5.17 eV/atom
1.0
-3.392 -1.224 -1.346
3.013 -6.835 -1.377
1.581 -7.028 2.407
In Pr Ni La
1 1 2 1
Cartesian
4.590 -13.851 1.029
-0.022 -5.662 -0.298
0.914 -2.757 0.205
3.672 -11.080 0.823
1.237 -9.462 -0.016


Entry 7:
ScTlZnSe3 PBE-GGA optimized geometry; calculated total energy = -4.33 eV/atom
1.0
-5.589 -6.640 1.898
-2.251 -8.554 0.830
3.511 1.666 7.988
Se Sc Tl Zn
6 2 2 2
Cartesian
-0.106 -3.915 6.688
-2.165 -6.764 5.358
-2.191 -8.702 8.751
0.000 0.000 0.000
-2.138 -4.825 1.966
-4.224 -9.612 4.028
-3.240 -11.018 9.624
-1.090 -2.509 1.093
0.859 -1.240 4.909
-5.189 -12.287 5.808
-1.038 -6.036 7.577
-3.292 -7.491 3.139


Entry 8:
BaNaTeIr PBE-GGA optimized geometry; calculated total energy = -3.78 eV/atom
1.0
0.000 3.700 3.700
3.700 0.000 3.700
3.700 3.700 0.000
Ir Te Ba Na
1 1 1 1
Cartesian
0.000 0.000 0.000
1.850 1.850 1.850
3.700 3.700 3.700
5.550 5.550 5.550